[1]
A relaxed structure of Tb6DyY5. Source: the Alexandria database, functional PBE-GGA.

electronic total energy = -5.3741 eV/atom
space-group type = C2/m
energy of formation from the pure elements = 0.02 eV/atom
mass density = 6.76 Mg/m³

```
data_Tb6DyY5
_cell_length_a 6.170
_cell_length_b 6.170
_cell_length_c 11.802
_cell_angle_alpha 94.97
_cell_angle_beta 94.97
_cell_angle_gamma 119.95
_symmetry_space_group_name_H-M 'P 1'
_symmetry_Int_Tables_number 1
_symmetry_space_group_name_Hall 'P 1'
loop_
_atom_site_label
_atom_site_type_symbol
_atom_site_fract_x
_atom_site_fract_y
_atom_site_fract_z
_atom_site_occupancy
Tb1 Tb 0.083 0.415 0.250 1
Tb2 Tb 0.250 0.250 0.750 1
Tb3 Tb 0.415 0.083 0.250 1
Tb4 Tb 0.585 0.917 0.750 1
Tb5 Tb 0.750 0.750 0.250 1
Tb6 Tb 0.917 0.585 0.750 1
Dy1 Dy 0.000 0.000 0.000 1
Y1 Y 0.167 0.833 0.500 1
Y2 Y 0.333 0.667 0.000 1
Y3 Y 0.500 0.500 0.500 1
Y4 Y 0.667 0.333 0.000 1
Y5 Y 0.833 0.167 0.500 1
```


[2]
A relaxed structure of ErMnPH. Source: the Alexandria database, functional PBE-GGA.

electronic total energy = -6.5362 eV/atom
space-group type = P4/nmm
mass density = 8.00 Mg/m³

```
data_ErMnPH
_cell_length_a 3.688
_cell_length_b 3.688
_cell_length_c 7.760
_cell_angle_alpha 90.00
_cell_angle_beta 90.00
_cell_angle_gamma 90.00
_symmetry_space_group_name_H-M 'P 1'
_symmetry_Int_Tables_number 1
_symmetry_space_group_name_Hall 'P 1'
loop_
_atom_site_label
_atom_site_type_symbol
_atom_site_fract_x
_atom_site_fract_y
_atom_site_fract_z
_atom_site_occupancy
Er1 Er 0.250 0.250 0.168 1
Er2 Er 0.750 0.750 0.832 1
Mn1 Mn 0.250 0.750 0.500 1
Mn2 Mn 0.750 0.250 0.500 1
P1 P 0.250 0.250 0.679 1
P2 P 0.750 0.750 0.321 1
H1 H 0.250 0.750 0.000 1
H2 H 0.750 0.250 0.000 1
```


[3]
A relaxed structure of NbPd. Source: the Alexandria database, functional PBE-GGA.

electronic total energy = -7.4359 eV/atom
space-group type = Fddd
energy of formation from the pure elements = 0.20 eV/atom
mass density = 9.10 Mg/m³

```
data_NbPd
_cell_length_a 6.369
_cell_length_b 6.359
_cell_length_c 5.324
_cell_angle_alpha 65.37
_cell_angle_beta 65.18
_cell_angle_gamma 49.45
_symmetry_space_group_name_H-M 'P 1'
_symmetry_Int_Tables_number 1
_symmetry_space_group_name_Hall 'P 1'
loop_
_atom_site_label
_atom_site_type_symbol
_atom_site_fract_x
_atom_site_fract_y
_atom_site_fract_z
_atom_site_occupancy
Nb1 Nb 0.048 0.702 0.048 1
Nb2 Nb 0.298 0.952 0.298 1
Nb3 Nb 0.702 0.048 0.702 1
Nb4 Nb 0.952 0.298 0.952 1
Pd1 Pd 0.199 0.551 0.551 1
Pd2 Pd 0.449 0.801 0.801 1
Pd3 Pd 0.551 0.199 0.199 1
Pd4 Pd 0.801 0.449 0.449 1
```


[4]
A relaxed structure of Na2Ti2O5. Source: the Alexandria database, functional PBE-GGA.

electronic total energy = -7.4399 eV/atom
space-group type = Pbcn
E_form (uncorrected) = -2637.8 meV per atom
mass density = 2.38 Mg/m³

```
data_Na2Ti2O5
_cell_length_a 6.665
_cell_length_b 5.636
_cell_length_c 16.503
_cell_angle_alpha 90.00
_cell_angle_beta 90.00
_cell_angle_gamma 90.00
_symmetry_space_group_name_H-M 'P 1'
_symmetry_Int_Tables_number 1
_symmetry_space_group_name_Hall 'P 1'
loop_
_atom_site_label
_atom_site_type_symbol
_atom_site_fract_x
_atom_site_fract_y
_atom_site_fract_z
_atom_site_occupancy
Na1 Na 0.094 0.210 0.057 1
Na2 Na 0.094 0.790 0.557 1
Na3 Na 0.406 0.290 0.557 1
Na4 Na 0.406 0.710 0.057 1
Na5 Na 0.594 0.290 0.943 1
Na6 Na 0.594 0.710 0.443 1
Na7 Na 0.906 0.210 0.443 1
Na8 Na 0.906 0.790 0.943 1
Ti1 Ti 0.103 0.290 0.852 1
Ti2 Ti 0.103 0.710 0.352 1
Ti3 Ti 0.397 0.210 0.352 1
Ti4 Ti 0.397 0.790 0.852 1
Ti5 Ti 0.603 0.210 0.148 1
Ti6 Ti 0.603 0.790 0.648 1
Ti7 Ti 0.897 0.290 0.648 1
Ti8 Ti 0.897 0.710 0.148 1
O1 O 0.000 0.234 0.750 1
O2 O 0.000 0.766 0.250 1
O3 O 0.069 0.208 0.573 1
O4 O 0.069 0.792 0.073 1
O5 O 0.165 0.390 0.368 1
O6 O 0.165 0.610 0.868 1
O7 O 0.335 0.110 0.868 1
O8 O 0.335 0.890 0.368 1
O9 O 0.431 0.292 0.073 1
O10 O 0.431 0.708 0.573 1
O11 O 0.500 0.266 0.250 1
O12 O 0.500 0.734 0.750 1
O13 O 0.569 0.292 0.427 1
O14 O 0.569 0.708 0.927 1
O15 O 0.665 0.110 0.632 1
O16 O 0.665 0.890 0.132 1
O17 O 0.835 0.390 0.132 1
O18 O 0.835 0.610 0.632 1
O19 O 0.931 0.208 0.927 1
O20 O 0.931 0.792 0.427 1
```


So what do the calculations give for Fermi-level density of states? Going down the list: 16.6 1.4 2.4 0.0 states/eV/f.u..
So what do the calculations give for total magnetic moment? Going down the list: 0.00 3.42 0.00 0.00 Bohr magnetons per cell.